VASP calculation (GGA-PBE) on crystalline Th2IrN at its relaxed geometry.

Cell: 5.801 5.838 11.719 Å, 90.00 116.13 90.00°
Fractional positions:
1 Th 0.094 0.249 0.106
2 Th 0.094 0.751 0.606
3 Th 0.337 0.295 0.855
4 Th 0.337 0.705 0.355
5 Th 0.663 0.295 0.645
6 Th 0.663 0.705 0.145
7 Th 0.906 0.249 0.394
8 Th 0.906 0.751 0.894
9 Ir 0.391 0.208 0.379
10 Ir 0.391 0.792 0.879
11 Ir 0.609 0.208 0.121
12 Ir 0.609 0.792 0.621
13 N 0.063 0.344 0.625
14 N 0.063 0.656 0.125
15 N 0.937 0.344 0.875
16 N 0.937 0.656 0.375

## Properties
The crystal system is monoclinic. The calculation puts the uncorrected formation energy at -1.086 eV per atom. The space group is No. 13. As for the excess energy over the best structure of this formula in the dataset: 0.000 eV per atom.